Computed, not measured: a relaxed CaPmPdRh crystal at the PBE level of DFT.

Properties
uncorrected energy = -21.85 eV per cell
ΔE_f = -0.64 eV/atom

extended XYZ file:
```
4
Lattice="0.0000 3.5171 3.5171 3.5171 0.0000 3.5171 3.5171 3.5171 0.0000" Properties=species:S:1:pos:R:3 pbc="T T T"
Ca 0.0000 0.0000 0.0000
Pm 3.5171 3.5171 3.5171
Pd 5.2756 5.2756 5.2756
Rh 1.7585 1.7585 1.7585
```